# 1
Entry from Alexandria: a relaxed structure of LiEr2AlO (PBE-GGA).

* formation energy (no corrections): -1.375 eV/atom
* spin magnetization: 0.00 μB/cell
* DFT total energy: -0.3912 Ry per atom

abc: 4.0733 4.7219 4.7219
angles: 90.00 90.00 90.00
Closest atoms and distances in Å follow each position.
Fractional coordinates of all 5 atoms:
1 Li 0.5000 0.0000 0.0000  2 O 2.04
2 O 0.0000 0.0000 0.0000  2 Li 2.04
3 Er 0.0000 0.0000 0.5000  2 O 2.36
4 Er 0.0000 0.5000 0.0000  2 O 2.36
5 Al 0.5000 0.5000 0.5000  8 Er 3.12, 4 Li 3.34

# 2
Entry from Alexandria: a relaxed structure of LiErAlOs (PBE-GGA).

* calculated formation energy: -1.0 eV/f.u.
* spin magnetization: 0.00 μB/cell
* DFT total energy: -0.4126 Ry per atom

abc: 4.5914 4.5914 4.5914
angles: 60.00 60.00 60.00
Closest atoms and distances in Å follow each position.
Fractional coordinates of all 4 atoms:
1 Al 0.0000 0.0000 0.0000  4 Os 2.81, 4 Li 2.81
2 Er 0.5000 0.5000 0.5000  4 Li 2.81, 4 Os 2.81
3 Os 0.7500 0.7500 0.7500  4 Er 2.81, 4 Al 2.81
4 Li 0.2500 0.2500 0.2500  4 Al 2.81, 4 Er 2.81

# 3
Entry from Alexandria: a relaxed structure of LiPmErAl (PBE-GGA).

* calculated formation energy: -0.8 eV/f.u.
* spin magnetization: 0.00 μB/cell
* DFT total energy: -0.2899 Ry per atom

abc: 5.1933 5.1933 5.1933
angles: 60.00 60.00 60.00
Closest atoms and distances in Å follow each position.
Fractional coordinates of all 4 atoms:
1 Li 0.0000 0.0000 0.0000  4 Pm 3.18, 4 Er 3.18
2 Pm 0.7500 0.7500 0.7500  4 Al 3.18, 4 Li 3.18
3 Er 0.2500 0.2500 0.2500  4 Li 3.18, 4 Al 3.18
4 Al 0.5000 0.5000 0.5000  4 Er 3.18, 4 Pm 3.18

# 4
Entry from Alexandria: a relaxed structure of LiPrErAl (PBE-GGA).

* calculated formation energy: -0.8 eV/f.u.
* spin magnetization: 0.00 μB/cell
* DFT total energy: -0.2897 Ry per atom

abc: 5.2317 5.2317 5.2317
angles: 60.00 60.00 60.00
Closest atoms and distances in Å follow each position.
Fractional coordinates of all 4 atoms:
1 Li 0.0000 0.0000 0.0000  4 Pr 3.20, 4 Er 3.20
2 Al 0.5000 0.5000 0.5000  4 Pr 3.20, 4 Er 3.20
3 Er 0.7500 0.7500 0.7500  4 Al 3.20, 4 Li 3.20
4 Pr 0.2500 0.2500 0.2500  4 Li 3.20, 4 Al 3.20

# 5
Entry from Alexandria: a relaxed structure of LiErAl2Pt2 (PBE-GGA).

* calculated formation energy: -6.1 eV/f.u.
* spin magnetization: 0.00 μB/cell
* DFT total energy: -0.3931 Ry per atom

abc: 4.3527 4.3527 6.3895
angles: 90.00 90.00 120.00
Closest atoms and distances in Å follow each position.
Fractional coordinates of all 6 atoms:
1 Er 0.0000 0.0000 0.5000  6 Pt 3.05, 2 Li 3.19, 6 Al 3.27
2 Al 0.3333 0.6667 0.8271  4 Pt 2.54-2.57, 3 Li 2.75
3 Al 0.6667 0.3333 0.1729  4 Pt 2.54-2.57, 3 Li 2.75
4 Pt 0.3333 0.6667 0.2296  4 Al 2.54-2.57
5 Pt 0.6667 0.3333 0.7704  4 Al 2.54-2.57
6 Li 0.0000 0.0000 0.0000  6 Al 2.75, 6 Pt 2.91

# 6
Entry from Alexandria: a relaxed structure of LiErAlPt (PBE-GGA).

* calculated formation energy: -3.2 eV/f.u.
* spin magnetization: 0.00 μB/cell
* DFT total energy: -0.3584 Ry per atom

abc: 4.6386 4.6386 4.6386
angles: 60.00 60.00 60.00
Closest atoms and distances in Å follow each position.
Fractional coordinates of all 4 atoms:
1 Al 0.5000 0.5000 0.5000  4 Li 2.84, 4 Pt 2.84
2 Pt 0.2500 0.2500 0.2500  4 Al 2.84, 4 Er 2.84
3 Er 0.0000 0.0000 0.0000  4 Pt 2.84, 4 Li 2.84
4 Li 0.7500 0.7500 0.7500  4 Al 2.84, 4 Er 2.84